The following is a PBE with a Hubbard U calculation of a geometry-optimized Si2NiF structure, from Alexandria via LeMat-Bulk.

a b c (Å): 4.062 4.062 4.062
angles (deg): 60.00 60.00 60.00
Atoms (fractional coordinates):
Ni 0.500 0.500 0.500
Si 0.250 0.250 0.250
Si 0.750 0.750 0.750
F 0.000 0.000 0.000

Computed properties:
* space-group type: Fm-3m, No. 225
* DFT total energy: -0.280 Ry per atom
* relative energy among the computed polymorphs: 0 meV per atom